1.
Re3BiF GGA-PBE relaxed; calculated total energy = -6.998 eV/atom; energy above the most stable polymorph in this dataset = 0.000 eV per formula unit; space group = Pm-3m; E_form (uncorrected) = 1.62 eV per atom
1.0
-2.668 3.492 -0.081
-3.308 -2.494 1.469
1.121 0.953 4.142
Re Bi F
3 1 1
Direct
0.000 0.500 0.000
0.000 0.000 0.500
0.500 0.000 0.000
0.500 0.500 0.500
0.000 0.000 0.000

***

2.
Re2BiRhF GGA-PBE relaxed; calculated total energy = -5.114 eV/atom; space group = P4/mmm; E_form (uncorrected) = 2.49 eV per atom
1.0
5.419 0.000 0.000
0.000 4.994 0.000
0.000 0.000 5.419
Re Rh Bi F
2 1 1 1
Direct
0.000 0.000 0.500
0.500 0.000 0.000
0.000 0.500 0.000
0.000 0.000 0.000
0.500 0.500 0.500

***

3.
ReBi2SbF GGA-PBE relaxed; calculated total energy = -5.143 eV/atom; space group = P4/mmm; E_form (uncorrected) = 0.10 eV per atom
1.0
-0.851 5.006 2.128
-3.937 -0.828 0.373
0.898 -1.995 5.052
Re F Bi Sb
1 1 2 1
Direct
0.000 0.000 0.000
0.000 0.500 0.000
0.000 0.000 0.500
0.500 0.000 0.000
0.500 0.500 0.500